PBE Na2HgBiPt, optimized geometry; electronic total energy = -2.69 eV/atom; formation enthalpy at 0 K = -114 meV per atom; total magnetic moment = 0.00 μB per cell
1.0
-2.126 -4.040 -3.427
4.558 -3.277 1.034
-2.396 -2.087 3.947
Na Bi Pt Hg
2 1 1 1
direct
0.000 0.500 0.000 Na
0.500 0.000 0.000 Na
0.000 0.000 0.500 Bi
0.000 0.000 0.000 Pt
0.500 0.500 0.500 Hg